# K2CrSi2O6 PBE+U optimized geometry
# VASP energy ... -6.69 eV per atom
# Total magnetic moment ... 4.000 μB per formula unit
data_K2CrSi2O6
_chemical_formula_sum 'K6 Cr3 Si6 O18'
_space_group_name_H-M_alt 'R -3 m'
_space_group_IT_number 166
_space_group_name_Hall '-R 3 2"'
_cell_length_a 5.6099
_cell_length_b 5.6099
_cell_length_c 16.7150
_cell_angle_alpha 90.00
_cell_angle_beta 90.00
_cell_angle_gamma 120.00
loop_
_atom_site_label
_atom_site_type_symbol
_atom_site_fract_x
_atom_site_fract_y
_atom_site_fract_z
K1 K 0.0000 0.0000 0.2138
Cr1 Cr 0.0000 0.0000 0.0000
Si1 Si 0.0000 0.0000 0.4204
O1 O 0.0057 0.5029 0.2607